Below is a relaxed structure of NbFeSb2O8, with properties calculated at the GGA+U level.

Summary:
As for the space group: Cmmm, No. 65. For the energy, the calculation gives -84.052 eV/f.u.

a = 4.8042 Å, b = 4.8040 Å, c = 6.4625 Å
α = 90.00°, β = 90.00°, γ = 89.12°
Element x y z (fractional)
Sb1 0.5000 0.5000 0.7457
Sb2 0.5000 0.5000 0.2543
O1 0.6906 0.6908 0.5000
O2 0.8028 0.1974 0.2325
O3 0.8028 0.1974 0.7675
O4 0.6946 0.6948 0.0000
O5 0.1972 0.8026 0.2325
O6 0.1972 0.8026 0.7675
O7 0.3054 0.3052 0.0000
O8 0.3094 0.3092 0.5000
Fe1 0.0000 0.0000 0.5000
Nb1 0.0000 0.0000 0.0000